First-principles (PBE) data for a relaxed structure of SrAc3Tl2, as listed in the Alexandria database.

For the density of states at the Fermi level, the calculation gives 11.08 states/eV/cell. The value obtained for the spin magnetization is 0.00 μB per cell. The offset from the most stable computed form is 0.0 meV per atom. The energy of formation from the pure elements is -0.258 eV/atom. For the total DFT energy (no corrections), the calculation gives -3.382 eV per atom.

It has space group Pmc2_1 (No. 26), with a = 5.784 Å, b = 10.527 Å, c = 7.572 Å, α = 90.00°, β = 90.00° and γ = 90.00°. The inequivalent atoms are Sr at (0.000, 0.047, 0.000), Ac at (0.000, 0.327, 0.671), Ac at (0.500, 0.171, 0.299), Ac at (0.500, 0.454, 0.973), Tl at (0.000, 0.345, 0.207) and Tl at (0.500, 0.153, 0.760).

=====

First-principles (PBE) data for a relaxed structure of Tb3Dy2Th2, as listed in the Alexandria database.

For the density of states at the Fermi level, the calculation gives 9.18 states/eV/cell. The value obtained for the spin magnetization is 0.00 μB per cell. The offset from the most stable computed form is 0.0 meV per atom. The energy of formation from the pure elements is 0.027 eV/atom. For the total DFT energy (no corrections), the calculation gives -5.392 eV per atom.

It has space group P-1 (No. 2), with a = 3.575 Å, b = 7.937 Å, c = 8.733 Å, α = 111.19°, β = 90.07° and γ = 102.99°. The inequivalent atoms are Tb at (0.000, 0.000, 0.000), Tb at (0.138, 0.276, 0.433), Dy at (0.283, 0.567, 0.860) and Th at (0.429, 0.858, 0.287).

=====

First-principles (PBE) data for a relaxed structure of Pa2Ge2Os, as listed in the Alexandria database.

For the density of states at the Fermi level, the calculation gives 12.59 states/eV/cell. The value obtained for the spin magnetization is 0.00 μB per cell. The offset from the most stable computed form is 0.0 meV per atom. The energy of formation from the pure elements is -0.475 eV/atom. For the total DFT energy (no corrections), the calculation gives -8.366 eV per atom.

It has space group Immm (No. 71), with a = 3.790 Å, b = 6.075 Å, c = 8.772 Å, α = 90.00°, β = 90.00° and γ = 90.00°. The inequivalent atoms are Pa at (0.000, 0.000, 0.231), Ge at (0.000, 0.290, 0.500) and Os at (0.000, 0.500, 0.000).

=====

First-principles (PBE) data for a relaxed structure of HoNiSe, as listed in the Alexandria database.

For the density of states at the Fermi level, the calculation gives 10.51 states/eV/cell. The value obtained for the spin magnetization is 1.52 μB per cell. The calculation puts the formation energy (no corrections) at -566 meV per atom. For the total DFT energy (no corrections), the calculation gives -5.181 eV per atom.

It has space group Amm2 (No. 38), with a = 10.129 Å, b = 3.805 Å, c = 6.548 Å, α = 90.00°, β = 90.00° and γ = 90.00°. The inequivalent atoms are Ho at (0.173, 0.000, 0.000), Ni at (0.000, 0.000, 0.664), Ni at (0.500, 0.000, 0.986) and Se at (0.350, 0.000, 0.666).